1.
Here is a relaxed MgCu3As crystal from Alexandria via LeMat-Bulk. Energies are from GGA-PBE.

Results
Spin magnetization   0.00 μB/atom
Raw total energy   -2.699 eV/atom
Density   5.2 g/cm³

Cell and atoms, written as POSCAR:
```
MgCu3As
1.0
-0.137 0.277 -4.516
1.207 -4.353 -0.304
-4.361 -1.213 0.058
Cu As Mg
3 1 1
direct
0.000 0.500 0.000
0.000 0.000 0.500
0.500 0.000 0.000
0.500 0.500 0.500
0.000 0.000 0.000
```

***

2.
Here is a relaxed Li2Tm2Pd7 crystal from Alexandria via LeMat-Bulk. Energies are from GGA-PBE.

Results
Spin magnetization   0.00 μB/atom
Raw total energy   -4.811 eV/atom
Density   9.1 g/cm³

Cell and atoms, written as POSCAR:
```
Li2Tm2Pd7
1.0
5.447 -0.004 -0.936
0.001 7.134 0.005
-1.274 0.001 5.378
Pd Tm Li
7 2 2
direct
0.000 0.691 0.500
0.500 0.691 0.000
0.000 0.309 0.500
0.500 0.701 0.500
0.000 0.000 0.000
0.500 0.309 0.000
0.500 0.299 0.500
0.683 0.000 0.317
0.317 0.000 0.683
0.177 0.500 0.177
0.823 0.500 0.823
```

***

3.
Here is a relaxed Al3AuSe crystal from Alexandria via LeMat-Bulk. Energies are from GGA-PBE.

Results
Spin magnetization   0.00 μB/atom
ΔE_f (raw)   -0.014 eV per atom
Density   5.2 g/cm³

Cell and atoms, written as POSCAR:
```
Al3AuSe
1.0
4.859 0.000 0.000
0.000 4.859 0.000
0.000 0.000 4.859
Al Se Au
3 1 1
direct
0.000 0.500 0.000
0.000 0.000 0.500
0.500 0.000 0.000
0.500 0.500 0.500
0.000 0.000 0.000
```

***

4.
Here is a relaxed Li2Pm3Sn3 crystal from Alexandria via LeMat-Bulk. Energies are from GGA-PBE.

Results
Spin magnetization   0.12 μB/atom
Raw total energy   -4.400 eV/atom
Density   6.4 g/cm³

Cell and atoms, written as POSCAR:
```
Li2Pm3Sn3
1.0
4.610 0.000 0.000
-2.305 5.817 0.000
0.000 0.000 15.498
Li Pm Sn
4 6 6
direct
0.217 0.435 0.088
0.783 0.565 0.588
0.783 0.565 0.912
0.217 0.435 0.412
0.365 0.731 0.750
0.081 0.162 0.887
0.919 0.838 0.387
0.635 0.269 0.250
0.081 0.162 0.613
0.919 0.838 0.113
0.610 0.221 0.045
0.610 0.221 0.455
0.337 0.674 0.250
0.390 0.779 0.545
0.390 0.779 0.955
0.663 0.326 0.750
```